Material: Li2FeI4
Method: DFT, PBE-GGA
State: optimized geometry

The volume comes out at 33.43 Å³ per atom. The value obtained for the formation energy (no corrections) is -0.49 eV/atom. The total magnetization is 8.00 μB per cell. The relative energy among the computed polymorphs comes out at 228 meV/atom.

The structure belongs to space group I4/mmm (No. 139); the cell edges are 5.765, 5.765 and 14.082 Å and the angles 90.00°, 90.00° and 90.00°. The inequivalent atoms are Li at (0.000, 0.000, 0.116), Fe at (0.000, 0.000, 0.500), I at (0.000, 0.000, 0.307) and I at (0.000, 0.500, 0.000).